# Lu2CdCo

Crystalline Lu2CdCo at its relaxed geometry (PBE, Alexandria via LeMat-Bulk).

Values from the calculation:
Its calculated density is 10.3 Mg/m³. The calculation puts the distance to the lowest polymorph of the same formula at 0 meV per atom. The space group is No. 123. The calculated formation energy comes out at -0.315 eV/atom.

Cell lengths 3.340, 3.340, 7.515 Å; angles 90.00, 90.00, 90.00 degrees
Atoms (fractional coordinates):
Lu1 0.000 0.000 0.211
Lu2 0.000 0.000 0.789
Cd1 0.500 0.500 0.500
Co1 0.500 0.500 0.000